# 1
# CdGePt5 (PBE, relaxed)
data_CdGePt5
_cell_length_a 4.016
_cell_length_b 4.016
_cell_length_c 7.282
_cell_angle_alpha 90.00
_cell_angle_beta 90.00
_cell_angle_gamma 90.00
_space_group_name_H-M_alt 'P 4/m m m'
_space_group_IT_number 123
_space_group_name_Hall '-P 4 2'
loop_
_atom_site_label
_atom_site_type_symbol
_atom_site_fract_x
_atom_site_fract_y
_atom_site_fract_z
Cd1 Cd 0.000 0.000 0.000
Ge1 Ge 0.500 0.500 0.500
Pt1 Pt 0.000 0.500 0.287
Pt2 Pt 0.500 0.500 0.000
# Formation energy, eV/atom: -0.29
# D(E_F), states/eV per cell: 4.56
# Mass density, g/cm³: 16.41

***

# 2
# CeSmLu2 (PBE, relaxed)
data_CeSmLu2
_cell_length_a 3.533
_cell_length_b 3.533
_cell_length_c 9.738
_cell_angle_alpha 90.00
_cell_angle_beta 90.00
_cell_angle_gamma 90.00
_space_group_name_H-M_alt 'P 4/m m m'
_space_group_IT_number 123
_space_group_name_Hall '-P 4 2'
loop_
_atom_site_label
_atom_site_type_symbol
_atom_site_fract_x
_atom_site_fract_y
_atom_site_fract_z
Ce1 Ce 0.000 0.000 0.000
Sm1 Sm 0.000 0.000 0.500
Lu1 Lu 0.500 0.500 0.243
# Formation energy, eV/atom: 0.06
# D(E_F), states/eV per cell: 7.67
# Energy above the most stable polymorph in this dataset, kcal/mol of atoms: 0.00
# Mass density, g/cm³: 8.75

***

# 3
# Ba2PmAl2Sb4 (PBE, relaxed)
data_Ba2PmAl2Sb4
_cell_length_a 16.525
_cell_length_b 4.722
_cell_length_c 8.098
_cell_angle_alpha 90.00
_cell_angle_beta 109.40
_cell_angle_gamma 90.00
_space_group_name_H-M_alt 'C 1 2/m 1'
_space_group_IT_number 12
loop_
_space_group_symop_operation_xyz
'x,y,z'
'-x,-y,-z'
'-x,y,-z'
'x,-y,z'
'x+1/2,y+1/2,z'
'-x+1/2,-y+1/2,-z'
'-x+1/2,y+1/2,-z'
'x+1/2,-y+1/2,z'
loop_
_atom_site_label
_atom_site_type_symbol
_atom_site_fract_x
_atom_site_fract_y
_atom_site_fract_z
Ba1 Ba 0.130 0.000 0.069
Pm1 Pm 0.000 0.000 0.500
Al1 Al 0.173 0.500 0.495
Sb1 Sb 0.017 0.500 0.244
Sb2 Sb 0.208 0.000 0.689
# ΔE_f (raw), eV/atom: -0.726
# D(E_F), states/eV per cell: 6.63
# Mass density, g/cm³: 5.35

***

# 4
# BaI3O (PBE, relaxed)
data_BaI3O
_cell_length_a 6.831
_cell_length_b 6.831
_cell_length_c 6.831
_cell_angle_alpha 90.00
_cell_angle_beta 90.00
_cell_angle_gamma 90.00
_space_group_name_H-M_alt 'P m -3 m'
_space_group_IT_number 221
_space_group_name_Hall '-P 4 2 3'
loop_
_atom_site_label
_atom_site_type_symbol
_atom_site_fract_x
_atom_site_fract_y
_atom_site_fract_z
Ba1 Ba 0.000 0.000 0.000
I1 I 0.000 0.000 0.500
O1 O 0.500 0.500 0.500
# ΔE_f (raw), eV/atom: -0.161
# D(E_F), states/eV per cell: 27.78
# Energy above the most stable polymorph in this dataset, kcal/mol of atoms: 11.86
# Mass density, g/cm³: 2.78

***

# 5
# ZrMn2RuC (PBE, relaxed)
data_ZrMn2RuC
_cell_length_a 3.915
_cell_length_b 3.915
_cell_length_c 4.125
_cell_angle_alpha 90.00
_cell_angle_beta 90.00
_cell_angle_gamma 90.00
_space_group_name_H-M_alt 'P 4/m m m'
_space_group_IT_number 123
_space_group_name_Hall '-P 4 2'
loop_
_atom_site_label
_atom_site_type_symbol
_atom_site_fract_x
_atom_site_fract_y
_atom_site_fract_z
Zr1 Zr 0.000 0.000 0.000
Mn1 Mn 0.000 0.500 0.500
Ru1 Ru 0.500 0.500 0.000
C1 C 0.500 0.500 0.500
# Formation energy, eV/atom: -0.19
# D(E_F), states/eV per cell: 3.87
# Mass density, g/cm³: 8.25

***

# 6
# Tb2Pm6Pr3Tm (PBE, relaxed)
data_Tb2Pm6Pr3Tm
_cell_length_a 6.308
_cell_length_b 10.928
_cell_length_c 12.050
_cell_angle_alpha 90.00
_cell_angle_beta 100.07
_cell_angle_gamma 90.00
_space_group_name_H-M_alt 'C 1 2/m 1'
_space_group_IT_number 12
loop_
_space_group_symop_operation_xyz
'x,y,z'
'-x,-y,-z'
'-x,y,-z'
'x,-y,z'
'x+1/2,y+1/2,z'
'-x+1/2,-y+1/2,-z'
'-x+1/2,y+1/2,-z'
'x+1/2,-y+1/2,z'
loop_
_atom_site_label
_atom_site_type_symbol
_atom_site_fract_x
_atom_site_fract_y
_atom_site_fract_z
Tb1 Tb 0.000 0.167 0.000
Pm1 Pm 0.248 0.334 0.245
Pm2 Pm 0.249 0.000 0.245
Pr1 Pr 0.000 0.000 0.500
Pr2 Pr 0.000 0.333 0.500
Tm1 Tm 0.000 0.500 0.000
# Formation energy, eV/atom: 0.02
# D(E_F), states/eV per cell: 34.55
# Mass density, g/cm³: 7.23